No. 1
Compound: Pu2Si4NiIr3
Source: the Alexandria database
Functional: PBE
Structure: relaxed

Cell: 4.1113 4.1113 9.8996 Å, 90.00 90.00 90.00°
Closest atoms and distances in Å follow each position.
Positions (direct):
1 Pu 0.0000 0.5000 0.2485  6 Ir 3.14-3.23, 8 Si 3.16-3.21, 2 Ni 3.23
2 Pu 0.5000 0.0000 0.7515  6 Ir 3.14-3.23, 8 Si 3.16-3.21, 2 Ni 3.23
3 Si 0.0000 0.0000 0.0000  4 Ir 2.42
4 Si 0.0000 0.5000 0.6276  3 Ir 2.40-2.41, 2 Ni 2.41
5 Si 0.5000 0.0000 0.3724  3 Ir 2.40-2.41, 2 Ni 2.41
6 Si 0.5000 0.5000 0.0000  4 Ir 2.42
7 Ni 0.0000 0.0000 0.5000  4 Si 2.41
8 Ir 0.0000 0.5000 0.8703  5 Si 2.40-2.42
9 Ir 0.5000 0.0000 0.1297  5 Si 2.40-2.42
10 Ir 0.5000 0.5000 0.5000  4 Si 2.41

Summary:
space-group type = P-4m2, No. 115



No. 2
Compound: Rb2Sm2SnO6
Source: the Alexandria database
Functional: PBE
Structure: relaxed

Cell: 6.0109 6.0109 6.9718 Å, 97.79 97.79 119.60°
Closest atoms and distances in Å follow each position.
Positions (direct):
1 Rb 0.1643 0.8357 0.0000  6 O 2.91-3.14
2 Rb 0.8357 0.1643 0.0000  6 O 2.91-3.14
3 Sm 0.3347 0.6653 0.5000  6 O 2.35-2.38
4 Sm 0.6653 0.3347 0.5000  6 O 2.35-2.38
5 Sn 0.0000 0.0000 0.5000  6 O 2.13-2.17
6 O 0.0471 0.3597 0.6658  1 Sn 2.17, 2 Sm 2.35-2.38
7 O 0.2469 0.2469 0.3332  1 Sn 2.13
8 O 0.3597 0.0471 0.6658  1 Sn 2.17, 2 Sm 2.35-2.38
9 O 0.6403 0.9529 0.3342  1 Sn 2.17, 2 Sm 2.35-2.38
10 O 0.7531 0.7531 0.6668  1 Sn 2.13
11 O 0.9529 0.6403 0.3342  1 Sn 2.17, 2 Sm 2.35-2.38

Summary:
space-group type = C2/m, No. 12



no.,uncorrected formation energy (eV per formula unit)
1,-7.7
2,-25.9